A relaxed structure of LiDyHg2, computed with PBE.

Geometry as POSCAR:
```
LiDyHg2
1.0
5.1802 0.0000 0.0000
0.0000 5.1802 0.0000
0.0000 0.0000 3.4833
Li Dy Hg
1 1 2
direct
0.0000 0.0000 0.0000
0.5000 0.5000 0.0000
0.0000 0.5000 0.5000
0.5000 0.0000 0.5000
```

Values from the calculation:
VASP energy in eV/f.u.: -8.7
Space group: P4/mmm (123)
Total moment in μB per cell: 0.00
Formation enthalpy at 0 K in eV/atom: -0.398